The following is a DFT calculation (PBE) of a geometry-optimized Sn3Te3Au structure.

a = 10.330 Å, b = 13.009 Å, c = 6.783 Å
α = 90.00°, β = 106.85°, γ = 90.00°
Element x y z (fractional)
Sn 0.063 0.120 0.335
Sn 0.063 0.380 0.835
Sn 0.284 0.622 0.950
Sn 0.284 0.878 0.450
Sn 0.387 0.145 0.907
Sn 0.387 0.355 0.407
Sn 0.613 0.645 0.593
Sn 0.613 0.855 0.093
Sn 0.716 0.122 0.550
Sn 0.716 0.378 0.050
Sn 0.937 0.620 0.165
Sn 0.937 0.880 0.665
Te 0.014 0.150 0.863
Te 0.014 0.350 0.363
Te 0.315 0.643 0.517
Te 0.315 0.857 0.017
Te 0.380 0.128 0.349
Te 0.380 0.372 0.849
Te 0.620 0.628 0.151
Te 0.620 0.872 0.651
Te 0.685 0.143 0.983
Te 0.685 0.357 0.483
Te 0.986 0.650 0.637
Te 0.986 0.850 0.137
Au 0.179 0.006 0.719
Au 0.179 0.494 0.219
Au 0.821 0.506 0.781
Au 0.821 0.994 0.281

Formation energy from raw total energies (eV/atom): -0.170
Total magnetization (μB/atom): 0.0000